No. 1
DFT (GGA-PBE) results for crystalline NaLi6Cd2 at its relaxed geometry.

Geometry as POSCAR:
```
NaLi6Cd2
1.0
4.4348 0.0000 0.0000
0.0000 4.4348 0.0000
0.0000 0.0000 10.1983
Cd Li Na
2 6 1
Direct
0.5000 0.5000 0.8606 Cd
0.5000 0.5000 0.1394 Cd
0.5000 0.5000 0.5000 Li
0.0000 0.5000 0.3064 Li
0.0000 0.0000 0.5000 Li
0.5000 0.0000 0.3064 Li
0.0000 0.5000 0.6936 Li
0.5000 0.0000 0.6936 Li
0.0000 0.0000 0.0000 Na
```

Output
E above lowest polymorph (meV/atom): 51
Formation enthalpy at 0 K (meV per atom): -37



No. 2
DFT (GGA-PBE) results for crystalline NaLi3Cd2 at its relaxed geometry.

Geometry as POSCAR:
```
NaLi3Cd2
1.0
3.4646 0.0000 0.0000
0.0000 3.4646 0.0000
0.0000 0.0000 10.5506
Cd Na Li
2 1 3
Direct
0.5000 0.5000 0.1474 Cd
0.5000 0.5000 0.8526 Cd
0.5000 0.5000 0.5000 Na
0.0000 0.0000 0.2879 Li
0.0000 0.0000 0.0000 Li
0.0000 0.0000 0.7121 Li
```

Output
E above lowest polymorph (meV/atom): 0
Formation enthalpy at 0 K (meV per atom): -157